[1]
A plane-wave DFT calculation with PBE-GGA was carried out for a relaxed structure of MnReTe2P.

Output
ΔE_f (raw) in meV per atom: 1129
Total magnetic moment in μB per cell: 3.98
DOS at the Fermi energy in states/eV/atom: 0.928

Cell: 5.1118 5.1118 4.9430 Å, 90.00 90.00 90.00°
Space group P4/mmm (No. 123)
Asymmetric unit:
Mn 0.0000 0.0000 0.0000
Re 0.0000 0.0000 0.5000
Te 0.0000 0.5000 0.5000
P 0.5000 0.5000 0.0000


[2]
A plane-wave DFT calculation with PBE-GGA was carried out for a relaxed structure of Pm2Dy2Hg.

Output
Total magnetic moment in μB per cell: 0.21
DOS at the Fermi energy in states/eV/atom: 1.479
DFT formation energy in eV per atom: -0.1816

Cell: 3.6253 3.6253 23.1460 Å, 90.00 90.00 90.00°
Space group I4/mmm (No. 139)
Asymmetric unit:
Pm 0.0000 0.0000 0.1940
Dy 0.0000 0.0000 0.4152
Hg 0.0000 0.0000 0.0000


[3]
A plane-wave DFT calculation with PBE-GGA was carried out for a relaxed structure of Pr2Ho3Er7.

Output
Total magnetic moment in μB per cell: 0.00
DOS at the Fermi energy in states/eV/atom: 1.465
DFT formation energy in eV per atom: 0.0840

Cell: 6.3076 3.5023 17.3749 Å, 90.00 96.19 90.00°
Space group P2/m (No. 10)
Asymmetric unit:
Pr 0.0593 0.0000 0.1740
Ho 0.4520 0.5000 0.8427
Ho 0.5000 0.0000 0.5000
Er 0.0000 0.5000 0.5000
Er 0.2284 0.0000 0.6657
Er 0.2563 0.0000 0.9992
Er 0.2755 0.5000 0.3381


[4]
A plane-wave DFT calculation with PBE-GGA was carried out for a relaxed structure of Li2Sm2DyGa2.

Output
Total magnetic moment in μB per cell: 0.00
DOS at the Fermi energy in states/eV/atom: 0.794
DFT formation energy in eV per atom: -0.2819

Cell: 4.6204 4.6204 26.6725 Å, 90.00 90.00 120.00°
Space group R-3m (No. 166, hexagonal axes)
Asymmetric unit:
Li 0.0000 0.0000 0.1086
Sm 0.0000 0.0000 0.3747
Dy 0.0000 0.0000 0.5000
Ga 0.0000 0.0000 0.2349


[5]
A plane-wave DFT calculation with PBE-GGA was carried out for a relaxed structure of MgBeAg2.

Output
Total magnetic moment in μB per cell: 0.00
DOS at the Fermi energy in states/eV/atom: 0.281
DFT formation energy in eV per atom: -0.0134

Cell: 2.9799 3.0663 6.8217 Å, 90.00 90.07 90.00°
Space group P2/m (No. 10)
Asymmetric unit:
Mg 0.0000 0.0000 0.0000
Be 0.0000 0.0000 0.5000
Ag 0.4994 0.5000 0.7095


[6]
A plane-wave DFT calculation with PBE-GGA was carried out for a relaxed structure of LiEuEr.

Output
Total magnetic moment in μB per cell: 7.35
DOS at the Fermi energy in states/eV/atom: 0.950
DFT formation energy in eV per atom: 0.2100

Cell: 5.5694 5.5694 3.4393 Å, 90.00 90.00 120.00°
Space group P3m1 (No. 156)
Asymmetric unit:
Li 0.0000 0.0000 0.0000
Eu 0.3333 0.6667 0.2643
Er 0.6667 0.3333 0.6787


[7]
A plane-wave DFT calculation with PBE-GGA was carried out for a relaxed structure of PmDyPtPb.

Output
Total magnetic moment in μB per cell: 0.00
DOS at the Fermi energy in states/eV/atom: 0.408
DFT formation energy in eV per atom: -0.7100

Cell: 7.4290 7.4290 7.4290 Å, 90.00 90.00 90.00°
Space group F-43m (No. 216)
Asymmetric unit:
Pm 0.0000 0.0000 0.0000
Dy 0.0000 0.0000 0.5000
Pt 0.2500 0.2500 0.2500
Pb 0.2500 0.2500 0.7500


[8]
A plane-wave DFT calculation with PBE-GGA was carried out for a relaxed structure of Ac5Pr2Er4.

Output
Total magnetic moment in μB per cell: 0.00
DOS at the Fermi energy in states/eV/atom: 1.630
DFT formation energy in eV per atom: 0.1350

Cell: 25.3353 3.7612 9.0205 Å, 90.00 95.99 90.00°
Space group C2/m (No. 12)
Asymmetric unit:
Ac 0.0000 0.0000 0.0000
Ac 0.1343 0.5000 0.0462
Ac 0.1821 0.5000 0.4764
Pr 0.0850 0.0000 0.6864
Er 0.0372 0.5000 0.3480
Er 0.2260 0.0000 0.8303


[9]
A plane-wave DFT calculation with PBE-GGA was carried out for a relaxed structure of SmDy3Ho7.

Output
Total magnetic moment in μB per cell: 0.27
DOS at the Fermi energy in states/eV/atom: 1.536
DFT formation energy in eV per atom: 0.2647

Cell: 5.7638 11.1107 11.1475 Å, 90.00 90.00 90.00°
Space group Immm (No. 71)
Asymmetric unit:
Sm 0.0000 0.0000 0.0000
Dy 0.0000 0.0000 0.5000
Dy 0.0000 0.5000 0.2070
Ho 0.0000 0.2062 0.3045
Ho 0.0000 0.2938 0.0000
Ho 0.0000 0.5000 0.5000


[10]
A plane-wave DFT calculation with PBE-GGA was carried out for a relaxed structure of Pm2DyY8.

Output
Total magnetic moment in μB per cell: 0.00
DOS at the Fermi energy in states/eV/atom: 1.478
DFT formation energy in eV per atom: 0.1567

Cell: 9.0737 16.0673 5.9191 Å, 90.00 122.20 90.00°
Space group C2/m (No. 12)
Asymmetric unit:
Pm 0.0000 0.1938 0.0000
Dy 0.0000 0.5000 0.5000
Y 0.0000 0.2920 0.5000
Y 0.0771 0.0000 0.2968
Y 0.2137 0.3847 0.1675


[11]
A plane-wave DFT calculation with PBE-GGA was carried out for a relaxed structure of Li2AlIn.

Output
Total magnetic moment in μB per cell: 0.00
DOS at the Fermi energy in states/eV/atom: 0.942
DFT formation energy in eV per atom: -0.0340

Cell: 3.1332 3.1332 27.6352 Å, 90.00 90.00 120.00°
Space group R-3m (No. 166, hexagonal axes)
Asymmetric unit:
Li 0.0000 0.0000 0.2471
Al 0.0000 0.0000 0.5000
In 0.0000 0.0000 0.0000


[12]
A plane-wave DFT calculation with PBE-GGA was carried out for a relaxed structure of Ba2TlAg3Sn4.

Output
Total magnetic moment in μB per cell: 0.00
DOS at the Fermi energy in states/eV/atom: 0.386
DFT formation energy in eV per atom: -0.3650

Cell: 4.8796 4.8796 12.0253 Å, 90.00 90.00 90.00°
Space group P-4m2 (No. 115)
Asymmetric unit:
Ba 0.0000 0.5000 0.2489
Tl 0.0000 0.0000 0.5000
Ag 0.0000 0.5000 0.8714
Ag 0.5000 0.5000 0.5000
Sn 0.0000 0.0000 0.0000
Sn 0.0000 0.5000 0.6414
Sn 0.5000 0.5000 0.0000